[1]
A relaxed structure of RbCaZn2. Source: Alexandria, functional PBEsol.

Results
For the total magnetic moment, the calculation gives 0.000 Bohr magnetons per cell. For the density of states at the Fermi level, the calculation gives 0.98 states/eV per atom. Its energy relative to the elements is 1.0 eV per formula unit.

a = 5.476 Å, b = 5.476 Å, c = 5.476 Å
α = 60.00°, β = 60.00°, γ = 60.00°
Fractional coordinates of all 4 atoms:
Rb: 0.000 0.000 0.000
Ca: 0.500 0.500 0.500
Zn: 0.250 0.250 0.250
Zn: 0.750 0.750 0.750

***

[2]
A relaxed structure of Sr2LiTe. Source: Alexandria, functional PBEsol.

Results
For the total magnetic moment, the calculation gives 0.357 Bohr magnetons per cell. For the density of states at the Fermi level, the calculation gives 0.85 states/eV per atom. The energy relative to the elements, uncorrected is -786.2 meV/atom.

a = 4.555 Å, b = 6.765 Å, c = 6.765 Å
α = 40.08°, β = 90.00°, γ = 90.00°
Fractional coordinates of all 4 atoms:
Sr: 0.000 0.000 0.000
Sr: 0.500 0.293 0.293
Li: 0.000 0.711 0.711
Te: 0.500 0.579 0.579

***

[3]
A relaxed structure of PrCo2P2. Source: Alexandria, functional PBEsol.

Results
For the total magnetic moment, the calculation gives 1.430 Bohr magnetons per cell. For the density of states at the Fermi level, the calculation gives 0.46 states/eV per atom. Its energy relative to the elements is -5.2 eV per formula unit.

a = 5.575 Å, b = 5.575 Å, c = 5.575 Å
α = 139.54°, β = 139.54°, γ = 58.55°
Fractional coordinates of all 5 atoms:
Pr: 0.000 0.000 0.000
Co: 0.250 0.750 0.500
Co: 0.750 0.250 0.500
P: 0.365 0.365 0.000
P: 0.635 0.635 0.000